1.
Computed, not measured: an optimized crystal structure of SiPS2 at the PBE level of DFT.

Lattice parameters (Å, degrees): 4.4355 4.4355 4.4355 60.00 60.00 60.00
Closest atoms and distances in Å follow each position.
Fractional coordinates of all 4 atoms:
1 Si 0.0000 0.0000 0.0000  8 S 2.72
2 S 0.7500 0.7500 0.7500  4 Si 2.72, 4 P 2.72
3 S 0.2500 0.2500 0.2500  4 Si 2.72, 4 P 2.72
4 P 0.5000 0.5000 0.5000  8 S 2.72

Calculated values
Distance to the lowest polymorph of the same formula: 0.783 eV per atom
E_tot: -16.5 eV per formula unit
Density of states at the Fermi level: 0.32 states/eV/atom



2.
Computed, not measured: an optimized crystal structure of PrEr8Th2 at the PBE level of DFT.

Lattice parameters (Å, degrees): 5.5163 10.1373 10.1373 40.26 92.05 92.05
Closest atoms and distances in Å follow each position.
Fractional coordinates of all 11 atoms:
1 Er 0.2630 0.5979 0.1368  4 Er 3.22-3.52, 2 Th 3.42-3.53, 1 Pr 3.51
2 Er 0.7604 0.4528 0.4528  2 Er 3.14-3.45, 1 Th 3.23
3 Th 0.2592 0.7172 0.7172  9 Er 3.23-3.55
4 Er 0.2396 0.5472 0.5472  2 Er 3.14-3.45, 1 Th 3.23
5 Pr 0.0000 0.0000 0.0000  10 Er 3.51-3.83
6 Er 0.7370 0.8632 0.4021  4 Er 3.22-3.52, 2 Th 3.42-3.53, 1 Pr 3.51
7 Er 0.2336 0.1835 0.1835  4 Th 3.32-3.55, 4 Er 3.43-3.52, 1 Pr 3.68
8 Er 0.7370 0.4021 0.8632  4 Er 3.22-3.52, 2 Th 3.42-3.53, 1 Pr 3.51
9 Er 0.2630 0.1368 0.5979  4 Er 3.22-3.52, 2 Th 3.42-3.53, 1 Pr 3.51
10 Th 0.7408 0.2828 0.2828  9 Er 3.23-3.55
11 Er 0.7664 0.8165 0.8165  4 Th 3.32-3.55, 4 Er 3.43-3.52, 1 Pr 3.68

Calculated values
Distance to the lowest polymorph of the same formula: 0.083 eV per atom
E_tot: -54.2 eV per formula unit
Formation enthalpy at 0 K: 0.176 eV per atom
Density of states at the Fermi level: 1.46 states/eV/atom